Density functional theory data (SCAN) for a PBEsol-optimized structure of Li3TaNi.

a = 4.8653 Å, b = 4.8653 Å, c = 4.8653 Å
α = 90.00°, β = 90.00°, γ = 90.00°
Closest atoms and distances in Å follow each position.
Space group Pm-3m (No. 221)
Unique sites:
Li: 0.0000 0.0000 0.5000 x3  2 Ta 2.43
Ta: 0.0000 0.0000 0.0000 x1  6 Li 2.43
Ni: 0.5000 0.5000 0.5000 x1  12 Li 3.44

Output
As for the total energy: -80.19 eV/cell.



Density functional theory data (SCAN) for a PBEsol-optimized structure of Li2TaNi.

a = 2.6520 Å, b = 3.9880 Å, c = 5.6101 Å
α = 90.00°, β = 103.67°, γ = 90.00°
Closest atoms and distances in Å follow each position.
Space group Pm (No. 6)
Unique sites:
Li: 0.0000 0.0000 0.0000 x1  2 Ni 2.58, 6 Li 2.61-2.65, 2 Ta 2.84
Li: 0.4043 0.5000 0.8104 x1  6 Li 2.61-2.65, 1 Ni 2.79
Ta: 0.7283 0.0000 0.4602 x1  4 Ni 2.55, 2 Ta 2.65, 2 Li 2.84
Ni: 0.1475 0.5000 0.2989 x1  4 Ta 2.55, 3 Li 2.58-2.79, 2 Ni 2.65

Output
As for the total energy: -86.85 eV/cell.



Density functional theory data (SCAN) for a PBEsol-optimized structure of LiTaNi6.

a = 7.0702 Å, b = 10.0609 Å, c = 10.0586 Å
α = 90.00°, β = 90.00°, γ = 90.00°
Closest atoms and distances in Å follow each position.
Space group Cmmm (No. 65)
Unique sites:
Li: 0.0000 0.0000 0.2457 x4  12 Ni 2.47-2.56
Li: 0.0000 0.2563 0.0000 x4  12 Ni 2.45-2.58
Ta: 0.0000 0.2534 0.5000 x4  12 Ni 2.48-2.55
Ta: 0.0000 0.5000 0.2431 x4  12 Ni 2.45-2.58
Ni: 0.0000 0.0000 0.0000 x2  4 Li 2.47-2.58, 8 Ni 2.48
Ni: 0.0000 0.0000 0.5000 x2  8 Ni 2.49, 2 Ta 2.55, 2 Li 2.56
Ni: 0.0000 0.2495 0.2461 x8  8 Ni 2.46-2.54, 2 Li 2.48-2.51, 2 Ta 2.52-2.55
Ni: 0.0000 0.5000 0.0000 x2  2 Ta 2.45, 2 Li 2.45, 8 Ni 2.53
Ni: 0.0000 0.5000 0.5000 x2  4 Ta 2.48-2.58, 8 Ni 2.53
Ni: 0.2448 0.1269 0.1221 x16  8 Ni 2.46-2.55, 3 Li 2.48-2.49, 1 Ta 2.52
Ni: 0.2461 0.1236 0.3729 x16  8 Ni 2.49-2.56, 1 Li 2.49, 3 Ta 2.52-2.54

Output
As for the total energy: -1338.89 eV/cell.



Density functional theory data (SCAN) for a PBEsol-optimized structure of Li2TaNi.

a = 6.7766 Å, b = 6.7766 Å, c = 4.8135 Å
α = 90.00°, β = 90.00°, γ = 90.00°
Closest atoms and distances in Å follow each position.
Space group I-42d (No. 122)
Unique sites:
Li: 0.2083 0.2500 0.1250 x8  2 Ni 2.29, 2 Li 2.47
Ta: 0.0000 0.0000 0.5000 x4  2 Ni 2.41, 4 Li 2.67
Ni: 0.0000 0.0000 0.0000 x4  4 Li 2.29, 2 Ta 2.41

Output
As for the total energy: -338.55 eV/cell.



Density functional theory data (SCAN) for a PBEsol-optimized structure of LiTcNi3.

a = 4.4207 Å, b = 4.4207 Å, c = 4.4207 Å
α = 90.00°, β = 90.00°, γ = 90.00°
Closest atoms and distances in Å follow each position.
Space group Pm-3m (No. 221)
Unique sites:
Li: 0.0000 0.0000 0.0000 x1  12 Ni 3.13
Tc: 0.5000 0.5000 0.5000 x1  6 Ni 2.21
Ni: 0.0000 0.5000 0.5000 x3  2 Tc 2.21

Output
As for the total energy: -80.22 eV/cell.



Density functional theory data (SCAN) for a PBEsol-optimized structure of LiTcNi2.

a = 5.6883 Å, b = 5.6883 Å, c = 5.6883 Å
α = 90.00°, β = 90.00°, γ = 90.00°
Closest atoms and distances in Å follow each position.
Space group Fm-3m (No. 225)
Unique sites:
Li: 0.0000 0.0000 0.0000 x4  8 Ni 2.46
Tc: 0.0000 0.0000 0.5000 x4  8 Ni 2.46
Ni: 0.2500 0.2500 0.2500 x8  4 Li 2.46, 4 Tc 2.46

Output
As for the total energy: -275.74 eV/cell.



Density functional theory data (SCAN) for a PBEsol-optimized structure of LiTcNi2.

a = 8.7879 Å, b = 2.4855 Å, c = 4.3907 Å
α = 90.00°, β = 102.77°, γ = 90.00°
Closest atoms and distances in Å follow each position.
Space group Cm (No. 8)
Unique sites:
Li: 0.0000 0.0000 0.0000 x2  7 Ni 2.37-2.54, 2 Li 2.49
Tc: 0.2158 0.0000 0.6336 x2  7 Ni 2.45-2.57, 2 Tc 2.49, 1 Li 2.75
Ni: 0.2558 0.5000 0.1450 x2  3 Li 2.37-2.52, 4 Ni 2.47-2.49, 4 Tc 2.52-2.57
Ni: 0.4701 0.0000 0.4857 x2  3 Tc 2.45-2.46, 4 Ni 2.47-2.49, 4 Li 2.53-2.54

Output
As for the total energy: -139.14 eV/cell.



Density functional theory data (SCAN) for a PBEsol-optimized structure of LiTcNi2.

a = 2.6866 Å, b = 4.1148 Å, c = 7.9825 Å
α = 90.00°, β = 90.00°, γ = 90.00°
Closest atoms and distances in Å follow each position.
Space group Immm (No. 71)
Unique sites:
Li: 0.0000 0.0000 0.0000 x2  4 Ni 2.34, 4 Tc 2.46
Tc: 0.0000 0.0000 0.5000 x2  4 Li 2.46, 4 Ni 2.48, 2 Tc 2.69
Ni: 0.0000 0.5000 0.2604 x4  2 Li 2.34, 4 Ni 2.46, 2 Tc 2.48

Output
As for the total energy: -137.41 eV/cell.



| no. | formation enthalpy at 0 K (eV per atom) | magnetic moment (μB/f.u.) | DOS at the Fermi energy (states/eV per atom) |
| --- | --- | --- | --- |
| 1 | 1.95 | 3.4 | 0.968 |
| 2 | 0.17 | 0.0 | 0.801 |
| 3 | -0.17 | 1.4 | 0.536 |
| 4 | 0.72 | 0.0 | 1.102 |
| 5 | 1.15 | 0.0 | 1.055 |
| 6 | 0.22 | 0.0 | 0.831 |
| 7 | 0.06 | 0.2 | 0.796 |
| 8 | 0.27 | 0.0 | 0.788 |